PBE SrCu4F12, relaxed; final energy = -4.2886 eV per atom
1.0
-3.8942 3.8942 3.8942
3.8942 -3.8942 3.8942
3.8942 3.8942 -3.8942
Sr Cu F
1 4 12
direct
0.0000 0.0000 0.0000
0.0000 0.0000 0.5000
0.0000 0.5000 0.0000
0.5000 0.0000 0.0000
0.5000 0.5000 0.5000
0.0115 0.7653 0.2462
0.2347 0.2462 0.4808
0.2347 0.7538 0.9885
0.2462 0.0115 0.7653
0.2462 0.4808 0.2347
0.4808 0.2347 0.2462
0.5192 0.7653 0.7538
0.7538 0.5192 0.7653
0.7538 0.9885 0.2347
0.7653 0.2462 0.0115
0.7653 0.7538 0.5192
0.9885 0.2347 0.7538

---

PBE SrCuF4, relaxed; E above lowest polymorph = 126 meV/atom
1.0
6.9312 0.0000 0.0000
0.0000 7.3773 0.0000
0.0000 0.0000 3.6509
Sr Cu F
2 2 8
direct
0.0000 0.0000 0.0000
0.5000 0.5000 0.0000
0.0000 0.5000 0.5000
0.5000 0.0000 0.5000
0.0000 0.3267 0.0000
0.0000 0.6733 0.0000
0.2268 0.0000 0.5000
0.2732 0.5000 0.5000
0.5000 0.1733 0.0000
0.5000 0.8267 0.0000
0.7268 0.5000 0.5000
0.7732 0.0000 0.5000

---

PBE SrCuF, relaxed; final energy = -4.0148 eV per atom
1.0
9.9403 0.0000 0.0000
0.0000 4.1494 0.0000
0.0000 0.0000 7.2506
Sr Cu F
4 4 4
direct
0.2353 0.0000 0.0000
0.2353 0.5000 0.5000
0.7647 0.0000 0.0000
0.7647 0.5000 0.5000
0.0000 0.0000 0.6661
0.0000 0.5000 0.1661
0.5000 0.0000 0.2131
0.5000 0.5000 0.7131
0.2337 0.0000 0.3357
0.2337 0.5000 0.8357
0.7663 0.0000 0.3357
0.7663 0.5000 0.8357

---

PBE SrCuF4, relaxed; E above lowest polymorph = 66 meV/atom
1.0
-2.8493 2.8493 5.5307
2.8493 -2.8493 5.5307
2.8493 2.8493 -5.5307
Sr Cu F
2 2 8
direct
0.3750 0.1250 0.2500
0.6250 0.8750 0.7500
0.1250 0.3750 0.7500
0.8750 0.6250 0.2500
0.0437 0.7184 0.9011
0.2184 0.8173 0.6747
0.3173 0.1426 0.5989
0.3574 0.4563 0.1747
0.6426 0.5437 0.8253
0.6827 0.8574 0.4011
0.7816 0.1827 0.3253
0.9563 0.2816 0.0989